[1]
Cu2ReRu after structural relaxation. Source: Alexandria via LeMat-Bulk, functional PBE.

ΔE_f = 396 meV/atom
E above lowest polymorph = 0.2639 eV per atom
mass density = 12.53 Mg/m³

a = 2.618 Å, b = 2.618 Å, c = 9.010 Å
α = 90.00°, β = 90.00°, γ = 117.19°
Fractional coordinates of all 4 atoms:
1 Ru 0.500 0.500 0.750
2 Cu 0.000 0.000 0.501
3 Cu 0.000 0.000 0.999
4 Re 0.500 0.500 0.250

***

[2]
BaSe3S after structural relaxation. Source: Alexandria via LeMat-Bulk, functional PBE.

formation energy from raw total energies = 0.660 eV per atom
E above lowest polymorph = 1.2537 eV per atom
mass density = 2.60 Mg/m³

a = 6.379 Å, b = 6.379 Å, c = 6.379 Å
α = 90.00°, β = 90.00°, γ = 90.00°
Fractional coordinates of all 5 atoms:
1 Ba 0.000 0.000 0.000
2 S 0.500 0.500 0.500
3 Se 0.000 0.000 0.500
4 Se 0.000 0.500 0.000
5 Se 0.500 0.000 0.000

***

[3]
CuNi4Sn after structural relaxation. Source: Alexandria via LeMat-Bulk, functional PBE.

ΔE_f = -66 meV/atom
E above lowest polymorph = 0.0000 eV per atom
mass density = 9.24 Mg/m³

a = 3.637 Å, b = 4.482 Å, c = 5.875 Å
α = 104.66°, β = 71.97°, γ = 66.06°
Fractional coordinates of all 6 atoms:
1 Ni 0.655 0.011 0.680
2 Ni 0.345 0.989 0.320
3 Ni 0.174 0.499 0.153
4 Ni 0.826 0.501 0.847
5 Sn 0.500 0.500 0.500
6 Cu 0.000 0.000 0.000

***

[4]
TiNiPd3 after structural relaxation. Source: Alexandria via LeMat-Bulk, functional PBE.

ΔE_f = 765 meV/atom
E above lowest polymorph = 1.1937 eV per atom
mass density = 7.35 Mg/m³

a = 4.583 Å, b = 4.583 Å, c = 4.583 Å
α = 90.00°, β = 90.00°, γ = 90.00°
Fractional coordinates of all 5 atoms:
1 Ni 0.500 0.500 0.500
2 Pd 0.000 0.000 0.500
3 Pd 0.000 0.500 0.000
4 Pd 0.500 0.000 0.000
5 Ti 0.000 0.000 0.000

***

[5]
RbBrN3 after structural relaxation. Source: Alexandria via LeMat-Bulk, functional PBE.

formation energy from raw total energies = 2.267 eV per atom
mass density = 4.40 Mg/m³

a = 4.276 Å, b = 4.276 Å, c = 4.276 Å
α = 90.00°, β = 90.00°, γ = 90.00°
Fractional coordinates of all 5 atoms:
1 Br 0.000 0.000 0.000
2 N 0.500 0.000 0.000
3 N 0.000 0.500 0.000
4 N 0.000 0.000 0.500
5 Rb 0.500 0.500 0.500

***

[6]
BaZr2AuCl after structural relaxation. Source: Alexandria via LeMat-Bulk, functional PBE.

formation energy from raw total energies = 0.008 eV per atom
mass density = 6.75 Mg/m³

a = 4.845 Å, b = 5.788 Å, c = 4.845 Å
α = 90.00°, β = 90.00°, γ = 90.00°
Fractional coordinates of all 5 atoms:
1 Zr 0.000 0.000 0.500
2 Zr 0.500 0.000 0.000
3 Au 0.500 0.500 0.500
4 Ba 0.000 0.500 0.000
5 Cl 0.000 0.000 0.000

***

[7]
Ce2SmSc3Se6 after structural relaxation. Source: Alexandria via LeMat-Bulk, functional PBE.

formation energy from raw total energies = -1.701 eV per atom
mass density = 6.20 Mg/m³

a = 6.926 Å, b = 6.926 Å, c = 7.087 Å
α = 99.37°, β = 99.37°, γ = 120.05°
Fractional coordinates of all 12 atoms:
1 Sc 0.500 0.500 0.500
2 Sc 0.163 0.837 0.500
3 Sc 0.837 0.163 0.500
4 Se 0.758 0.758 0.274
5 Se 0.092 0.425 0.276
6 Se 0.242 0.242 0.726
7 Se 0.575 0.908 0.724
8 Se 0.425 0.092 0.276
9 Se 0.908 0.575 0.724
10 Ce 0.333 0.667 0.000
11 Ce 0.667 0.333 0.000
12 Sm 0.000 0.000 0.000

***

[8]
Pm4Nd8Tm3 after structural relaxation. Source: Alexandria via LeMat-Bulk, functional PBE.

ΔE_f = 125 meV/atom
E above lowest polymorph = 0.0000 eV per atom
mass density = 7.18 Mg/m³

a = 7.055 Å, b = 7.055 Å, c = 12.700 Å
α = 73.87°, β = 73.87°, γ = 60.00°
Fractional coordinates of all 15 atoms:
1 Nd 0.245 0.245 0.264
2 Nd 0.755 0.755 0.736
3 Nd 0.251 0.251 0.745
4 Nd 0.749 0.247 0.255
5 Nd 0.247 0.749 0.255
6 Nd 0.749 0.749 0.255
7 Nd 0.251 0.753 0.745
8 Nd 0.753 0.251 0.745
9 Pm 0.664 0.664 0.008
10 Pm 0.336 0.336 0.992
11 Pm 0.000 0.000 0.000
12 Pm 0.500 0.500 0.500
13 Tm 0.500 0.000 0.500
14 Tm 0.000 0.500 0.500
15 Tm 0.000 0.000 0.500

***

[9]
NaAg4Pd3 after structural relaxation. Source: Alexandria via LeMat-Bulk, functional PBE.

ΔE_f = -61 meV/atom
mass density = 9.40 Mg/m³

a = 5.767 Å, b = 5.751 Å, c = 8.244 Å
α = 90.00°, β = 90.00°, γ = 90.00°
Fractional coordinates of all 16 atoms:
1 Ag 0.500 0.811 0.500
2 Ag 0.000 0.811 0.000
3 Ag 0.755 0.061 0.250
4 Ag 0.245 0.561 0.250
5 Ag 0.755 0.061 0.750
6 Ag 0.500 0.311 0.000
7 Ag 0.245 0.561 0.750
8 Ag 0.000 0.311 0.500
9 Na 0.500 0.810 0.000
10 Na 0.500 0.310 0.500
11 Pd 0.000 0.811 0.500
12 Pd 0.244 0.061 0.250
13 Pd 0.756 0.561 0.750
14 Pd 0.244 0.061 0.750
15 Pd 0.000 0.311 0.000
16 Pd 0.756 0.561 0.250

***

[10]
Cs4Nd3SmSe8 after structural relaxation. Source: Alexandria via LeMat-Bulk, functional PBE.

formation energy from raw total energies = -1.729 eV per atom
mass density = 5.16 Mg/m³

a = 8.782 Å, b = 9.821 Å, c = 8.782 Å
α = 116.58°, β = 120.00°, γ = 90.00°
Fractional coordinates of all 16 atoms:
1 Sm 0.000 0.500 0.000
2 Se 0.270 0.309 0.539
3 Se 0.229 0.690 0.961
4 Se 0.733 0.690 0.961
5 Se 0.267 0.310 0.039
6 Se 0.229 0.690 0.457
7 Se 0.771 0.310 0.039
8 Se 0.730 0.691 0.461
9 Se 0.771 0.310 0.543
10 Cs 0.500 0.000 0.500
11 Cs 0.000 0.000 0.500
12 Cs 0.500 0.000 0.000
13 Cs 0.000 0.000 0.000
14 Nd 0.000 0.500 0.500
15 Nd 0.500 0.500 0.000
16 Nd 0.500 0.500 0.500

***

[11]
PmY2Sc3Se6 after structural relaxation. Source: Alexandria via LeMat-Bulk, functional PBE.

formation energy from raw total energies = -1.682 eV per atom
mass density = 5.69 Mg/m³

a = 3.982 Å, b = 8.048 Å, c = 8.951 Å
α = 103.31°, β = 102.85°, γ = 90.00°
Fractional coordinates of all 12 atoms:
1 Sc 0.836 0.165 0.672
2 Sc 0.164 0.835 0.328
3 Sc 0.500 0.500 0.000
4 Se 0.003 0.734 0.007
5 Se 0.997 0.266 0.993
6 Se 0.326 0.924 0.653
7 Se 0.664 0.592 0.328
8 Se 0.674 0.076 0.347
9 Se 0.336 0.408 0.672
10 Y 0.165 0.330 0.330
11 Y 0.835 0.670 0.670
12 Pm 0.500 0.000 0.000

***

[12]
BeCrNi2 after structural relaxation. Source: Alexandria via LeMat-Bulk, functional PBE.

ΔE_f = -27 meV/atom
mass density = 7.16 Mg/m³

a = 4.189 Å, b = 4.189 Å, c = 4.301 Å
α = 80.21°, β = 80.21°, γ = 33.83°
Fractional coordinates of all 4 atoms:
1 Ni 0.009 0.009 0.995
2 Ni 0.491 0.491 0.505
3 Be 0.750 0.750 0.750
4 Cr 0.250 0.250 0.250

***

What is the mass density in the seventh record? 6.20 Mg/m³

***

Which of these has the lowest mass density? BaSe3S

***

Which formula does entry 9 have? NaAg4Pd3

***

Which value of mass density does entry 2 give? 2.60 Mg/m³